VASP calculation (PBE) on a relaxed PrAsPb crystal.

Unit cell a=6.080 b=6.079 c=9.919 alpha=90.00 beta=99.19 gamma=90.00
Space group C2/m (No. 12)
One atom of each set of equivalent atoms:
1 Pr 0.207 0.000 0.345 [4 per cell]
2 As 0.203 0.500 0.353 [4 per cell]
3 Pb 0.238 0.000 0.938 [4 per cell]

ΔE_f (meV per atom): -812
VASP energy (eV per atom): -5.19